Below is a relaxed ErTiSbO6 crystal, with properties calculated at the PBE level.

a = 5.210 Å, b = 5.210 Å, c = 9.698 Å
α = 90.00°, β = 90.00°, γ = 120.00°
Atoms (fractional coordinates):
Er 0.000 0.000 0.000
Er 0.000 0.000 0.500
Ti 0.333 0.667 0.250
Ti 0.667 0.333 0.750
Sb 0.333 0.667 0.750
Sb 0.667 0.333 0.250
O 0.003 0.360 0.138
O 0.003 0.643 0.362
O 0.357 0.360 0.362
O 0.357 0.997 0.138
O 0.360 0.003 0.638
O 0.360 0.357 0.862
O 0.640 0.643 0.138
O 0.640 0.997 0.362
O 0.643 0.003 0.862
O 0.643 0.640 0.638
O 0.997 0.357 0.638
O 0.997 0.640 0.862

* ρ: 6.31 g/cm³
* E_form (uncorrected): -2.60 eV per atom
* energy: -7.748 eV per atom

---

Below is a relaxed Li2Mg2ScPb2 crystal, with properties calculated at the PBE level.

a = 8.391 Å, b = 8.391 Å, c = 8.391 Å
α = 32.69°, β = 32.69°, γ = 32.69°
Atoms (fractional coordinates):
Li 0.077 0.077 0.077
Li 0.923 0.923 0.923
Mg 0.364 0.364 0.364
Mg 0.636 0.636 0.636
Sc 0.500 0.500 0.500
Pb 0.231 0.231 0.231
Pb 0.769 0.769 0.769

* ΔE_f: -0.2474 eV/atom
* ρ: 5.65 g/cm³
* energy: -3.214 eV per atom

---

The lowest energy belongs to which entry?
ErTiSbO6

---

energy of number 1 (ErTiSbO6)?
-7.748 eV per atom

---

What is the formula in the second record?
Li2Mg2ScPb2